[1]
# Zr2P3H3O13 PBEsol relaxed
# Size of the total moment, μB/f.u.: 0.000
# Total DFT energy (no corrections), Ha/atom: -0.287
# SG: C2, No. 5
data_Zr2P3H3O13
_cell_length_a 8.811
_cell_length_b 8.817
_cell_length_c 9.364
_cell_angle_alpha 62.26
_cell_angle_beta 61.94
_cell_angle_gamma 60.02
_symmetry_space_group_name_H-M 'P 1'
_symmetry_Int_Tables_number 1
loop_
_symmetry_equiv_pos_as_xyz
'x,y,z'
loop_
_atom_site_label
_atom_site_type_symbol
_atom_site_fract_x
_atom_site_fract_y
_atom_site_fract_z
O1 O 0.713 0.078 0.264
O2 O 0.992 0.649 0.600
O3 O 0.276 0.919 0.734
O4 O 0.917 0.070 0.715
O5 O 0.491 0.713 0.906
O6 O 0.557 0.483 0.497
O7 O 0.562 0.420 0.225
O8 O 0.042 0.015 0.994
O9 O 0.870 0.478 0.908
O10 O 0.065 0.312 0.688
O11 O 0.006 0.357 0.386
O12 O 0.435 0.580 0.756
O13 O 0.934 0.696 0.292
O14 O 0.207 0.428 0.775
O15 O 0.786 0.571 0.221
O16 O 0.428 0.802 0.198
O17 O 0.254 0.142 0.104
O18 O 0.615 0.786 0.584
O19 O 0.124 0.526 0.074
O20 O 0.500 0.283 0.086
O21 O 0.230 0.972 0.415
O22 O 0.084 0.927 0.269
O23 O 0.571 0.186 0.802
O24 O 0.761 0.020 0.582
O25 O 0.374 0.216 0.405
O26 O 0.747 0.849 0.890
H1 H 0.501 0.540 0.594
H2 H 0.141 0.958 0.896
H3 H 0.466 0.474 0.472
H4 H 0.071 0.969 0.108
H5 H 0.917 0.024 0.019
H6 H 0.654 0.529 0.382
P1 P 0.034 0.468 0.743
P2 P 0.968 0.537 0.241
P3 P 0.750 0.031 0.747
P4 P 0.252 0.961 0.248
P5 P 0.457 0.749 0.745
P6 P 0.537 0.249 0.245
Zr1 Zr 0.143 0.148 0.551
Zr2 Zr 0.844 0.858 0.440
Zr3 Zr 0.648 0.640 0.050
Zr4 Zr 0.348 0.350 0.939


[2]
# Zr2SeCl PBEsol relaxed
# Size of the total moment, μB/f.u.: 0.000
# SG: Immm, No. 71
# Formation energy from raw total energies, eV per atom: -0.77
data_Zr2SeCl
_cell_length_a 3.217
_cell_length_b 5.386
_cell_length_c 5.386
_cell_angle_alpha 66.32
_cell_angle_beta 72.62
_cell_angle_gamma 72.62
_symmetry_space_group_name_H-M 'P 1'
_symmetry_Int_Tables_number 1
loop_
_symmetry_equiv_pos_as_xyz
'x,y,z'
loop_
_atom_site_label
_atom_site_type_symbol
_atom_site_fract_x
_atom_site_fract_y
_atom_site_fract_z
Cl1 Cl 0.500 0.000 0.000
Zr1 Zr 0.755 0.245 0.245
Zr2 Zr 0.245 0.755 0.755
Se1 Se 0.000 0.500 0.500


[3]
# TcW2F PBEsol relaxed
# Size of the total moment, μB/f.u.: 0.000
# SG: Fm-3m, No. 225
# Formation energy from raw total energies, eV per atom: 0.39
data_TcW2F
_cell_length_a 4.303
_cell_length_b 4.303
_cell_length_c 4.303
_cell_angle_alpha 60.00
_cell_angle_beta 60.00
_cell_angle_gamma 60.00
_symmetry_space_group_name_H-M 'P 1'
_symmetry_Int_Tables_number 1
loop_
_symmetry_equiv_pos_as_xyz
'x,y,z'
loop_
_atom_site_label
_atom_site_type_symbol
_atom_site_fract_x
_atom_site_fract_y
_atom_site_fract_z
F1 F 0.000 0.000 0.000
W1 W 0.750 0.750 0.750
W2 W 0.250 0.250 0.250
Tc1 Tc 0.500 0.500 0.500


[4]
# CaAl4P PBEsol relaxed
# Size of the total moment, μB/f.u.: 0.000
# SG: F-43m, No. 216
# Formation enthalpy at 0 K, eV per formula unit: 0.386
data_CaAl4P
_cell_length_a 5.435
_cell_length_b 5.435
_cell_length_c 5.435
_cell_angle_alpha 60.00
_cell_angle_beta 60.00
_cell_angle_gamma 60.00
_symmetry_space_group_name_H-M 'P 1'
_symmetry_Int_Tables_number 1
loop_
_symmetry_equiv_pos_as_xyz
'x,y,z'
loop_
_atom_site_label
_atom_site_type_symbol
_atom_site_fract_x
_atom_site_fract_y
_atom_site_fract_z
Al1 Al 0.375 0.875 0.375
Al2 Al 0.375 0.375 0.875
Al3 Al 0.875 0.375 0.375
Al4 Al 0.375 0.375 0.375
P1 P 0.000 0.000 0.000
Ca1 Ca 0.750 0.750 0.750


[5]
# LaMgNi PBEsol relaxed
# Size of the total moment, μB/f.u.: 0.000
# SG: F-43m, No. 216
# Formation enthalpy at 0 K, eV per formula unit: 1.596
data_LaMgNi
_cell_length_a 4.690
_cell_length_b 4.690
_cell_length_c 4.690
_cell_angle_alpha 60.00
_cell_angle_beta 60.00
_cell_angle_gamma 60.00
_symmetry_space_group_name_H-M 'P 1'
_symmetry_Int_Tables_number 1
loop_
_symmetry_equiv_pos_as_xyz
'x,y,z'
loop_
_atom_site_label
_atom_site_type_symbol
_atom_site_fract_x
_atom_site_fract_y
_atom_site_fract_z
La1 La 0.500 0.500 0.500
Mg1 Mg 0.250 0.250 0.250
Ni1 Ni 0.000 0.000 0.000


[6]
# AlTlRu PBEsol relaxed
# Energy above the lowest structure with this stoichiometry, meV/atom: 0
# Size of the total moment, μB/f.u.: 0.000
# SG: P-6m2, No. 187
# Formation enthalpy at 0 K, eV per formula unit: 0.517
data_AlTlRu
_cell_length_a 3.304
_cell_length_b 4.242
_cell_length_c 4.242
_cell_angle_alpha 120.00
_cell_angle_beta 90.00
_cell_angle_gamma 90.00
_symmetry_space_group_name_H-M 'P 1'
_symmetry_Int_Tables_number 1
loop_
_symmetry_equiv_pos_as_xyz
'x,y,z'
loop_
_atom_site_label
_atom_site_type_symbol
_atom_site_fract_x
_atom_site_fract_y
_atom_site_fract_z
Tl1 Tl 0.500 0.667 0.333
Ru1 Ru 0.000 0.333 0.667
Al1 Al 0.000 0.000 0.000